(1)
Material: NaGe2BSe6
Method: DFT, GGA-PBE
State: relaxed Values from VASP.

The structure in Quantum ESPRESSO input format:
```
&SYSTEM
  ibrav = 0, nat = 20, ntyp = 4
/
ATOMIC_SPECIES
Na 22.99 Na.upf
Ge 72.64 Ge.upf
B 10.81 B.upf
Se 78.96 Se.upf
CELL_PARAMETERS angstrom
6.7520 -6.7373 0.0000
6.7520 6.7373 0.0000
-3.2279 0.0000 6.2933
ATOMIC_POSITIONS crystal
Na 0.1033 0.8967 0.7500
Na 0.8967 0.1033 0.2500
Ge 0.2157 0.3920 0.8600
Ge 0.3920 0.2157 0.3600
Ge 0.6080 0.7843 0.6400
Ge 0.7843 0.6080 0.1400
B 0.2094 0.7906 0.2500
B 0.7906 0.2094 0.7500
Se 0.0008 0.1994 0.7104
Se 0.1994 0.0008 0.2104
Se 0.2224 0.6623 0.9657
Se 0.2787 0.4091 0.5551
Se 0.3377 0.7776 0.5343
Se 0.4091 0.2787 0.0551
Se 0.5909 0.7213 0.9449
Se 0.6623 0.2224 0.4657
Se 0.7213 0.5909 0.4449
Se 0.7776 0.3377 0.0343
Se 0.8006 0.9992 0.7896
Se 0.9992 0.8006 0.2896
```

DFT total energy: -4.0614 eV/atom

(2)
Material: Na2GeBSe4
Method: DFT, GGA-PBE
State: relaxed Values from VASP.

The structure in Quantum ESPRESSO input format:
```
&SYSTEM
  ibrav = 0, nat = 16, ntyp = 4
/
ATOMIC_SPECIES
Na 22.99 Na.upf
Ge 72.64 Ge.upf
B 10.81 B.upf
Se 78.96 Se.upf
CELL_PARAMETERS angstrom
0.0000 6.7444 9.4478
3.1202 0.0000 9.4478
3.1202 6.7444 0.0000
ATOMIC_POSITIONS crystal
Na 0.0647 0.0647 0.6853
Na 0.3147 0.3147 0.9353
Na 0.6853 0.6853 0.0647
Na 0.9353 0.9353 0.3147
Ge 0.3750 0.3750 0.3750
Ge 0.6250 0.6250 0.6250
B 0.1250 0.1250 0.1250
B 0.8750 0.8750 0.8750
Se 0.0860 0.2825 0.3544
Se 0.2230 0.6456 0.7175
Se 0.2825 0.0860 0.7770
Se 0.3544 0.7770 0.0860
Se 0.6456 0.2230 0.9140
Se 0.7175 0.9140 0.2230
Se 0.7770 0.3544 0.2825
Se 0.9140 0.7175 0.6456
```

DFT total energy: -3.9733 eV/atom
DOS(E_F): 2.8 states/eV/f.u.